Entry 1:
Entry from the Alexandria database: a relaxed CsCoAuCl6 crystal (PBE).

```
CsCoAuCl6
1.0
6.407 0.000 0.000
-2.676 5.826 0.000
-0.220 -0.322 7.582
Cs Co Au Cl
1 1 1 6
Direct
0.000 0.000 0.000 Cs
0.639 0.360 0.500 Co
0.303 0.697 0.500 Au
0.357 0.072 0.636 Cl
0.371 0.406 0.316 Cl
0.595 0.627 0.684 Cl
0.658 0.104 0.304 Cl
0.897 0.340 0.695 Cl
0.927 0.643 0.363 Cl
```

Results
energy relative to the elements, uncorrected	-0.729	eV/atom
total magnetic moment	0.98	μB per formula unit
symmetry	P1 (1)
energy	-3.2083	eV/atom
DOS(E_F)	0.17	states/eV per atom

---

Entry 2:
Entry from the Alexandria database: a relaxed Ca2ZnIn2Pd5 crystal (PBE).

```
Ca2ZnIn2Pd5
1.0
10.634 0.000 0.000
0.000 10.634 0.000
0.000 0.000 3.490
Ca Zn In Pd
4 2 4 10
Direct
0.168 0.332 0.000 Ca
0.332 0.832 0.000 Ca
0.668 0.168 0.000 Ca
0.832 0.668 0.000 Ca
0.000 0.000 0.000 Zn
0.500 0.500 0.000 Zn
0.135 0.635 0.000 In
0.365 0.135 0.000 In
0.635 0.865 0.000 In
0.865 0.365 0.000 In
0.000 0.500 0.500 Pd
0.055 0.815 0.500 Pd
0.185 0.055 0.500 Pd
0.315 0.555 0.500 Pd
0.445 0.315 0.500 Pd
0.500 0.000 0.500 Pd
0.555 0.685 0.500 Pd
0.685 0.445 0.500 Pd
0.815 0.945 0.500 Pd
0.945 0.185 0.500 Pd
```

Results
total magnetic moment	0.00	μB per formula unit
ΔE_f	-5.3	eV per formula unit
symmetry	P4/mbm (127)
energy	-4.2016	eV/atom
DOS(E_F)	0.32	states/eV per atom

---

Entry 3:
Entry from the Alexandria database: a relaxed SnRuF2 crystal (PBE).

```
SnRuF2
1.0
6.194 0.000 0.000
0.000 6.194 0.000
0.000 0.000 6.194
Sn Ru F
4 4 8
Direct
0.000 0.000 0.000 Sn
0.000 0.500 0.500 Sn
0.500 0.000 0.500 Sn
0.500 0.500 0.000 Sn
0.000 0.000 0.500 Ru
0.000 0.500 0.000 Ru
0.500 0.000 0.000 Ru
0.500 0.500 0.500 Ru
0.250 0.250 0.250 F
0.250 0.250 0.750 F
0.250 0.750 0.250 F
0.250 0.750 0.750 F
0.750 0.250 0.250 F
0.750 0.250 0.750 F
0.750 0.750 0.250 F
0.750 0.750 0.750 F
```

Results
energy relative to the elements, uncorrected	-0.490	eV/atom
total magnetic moment	2.16	μB per formula unit
symmetry	Fm-3m (225)
energy	-4.7456	eV/atom
distance to the lowest polymorph of the same formula	0.351	eV per atom
DOS(E_F)	0.51	states/eV per atom

---

Entry 4:
Entry from the Alexandria database: a relaxed Cs2TcAgBr6 crystal (PBE).

```
Cs2TcAgBr6
1.0
-3.888 3.888 5.493
3.888 -3.888 5.493
3.888 3.888 -5.493
Cs Tc Ag Br
2 1 1 6
Direct
0.250 0.750 0.500 Cs
0.750 0.250 0.500 Cs
0.000 0.000 0.000 Tc
0.500 0.500 0.000 Ag
0.237 0.237 0.000 Br
0.237 0.237 0.474 Br
0.237 0.763 0.000 Br
0.763 0.237 0.000 Br
0.763 0.763 0.000 Br
0.763 0.763 0.526 Br
```

Results
energy relative to the elements, uncorrected	-0.899	eV/atom
total magnetic moment	3.09	μB per formula unit
symmetry	I4/mmm (139)
energy	-3.3947	eV/atom
distance to the lowest polymorph of the same formula	0.015	eV per atom
DOS(E_F)	0.69	states/eV per atom

---

Entry 5:
Entry from the Alexandria database: a relaxed La3Nd8Cd4 crystal (PBE).

```
La3Nd8Cd4
1.0
6.741 -6.273 0.000
6.741 6.273 0.000
-3.196 0.000 5.934
La Nd Cd
3 8 4
Direct
0.000 0.000 0.000 La
0.000 0.500 0.500 La
0.500 0.000 0.500 La
0.247 0.247 0.909 Nd
0.257 0.743 0.000 Nd
0.263 0.737 0.500 Nd
0.336 0.336 0.478 Nd
0.664 0.664 0.522 Nd
0.737 0.263 0.500 Nd
0.743 0.257 0.000 Nd
0.753 0.753 0.091 Nd
0.000 0.000 0.500 Cd
0.000 0.500 0.000 Cd
0.500 0.000 0.000 Cd
0.500 0.500 0.000 Cd
```

Results
total magnetic moment	0.01	μB per formula unit
ΔE_f	1.7	eV per formula unit
symmetry	C2/m (12)
energy	-3.6570	eV/atom
DOS(E_F)	1.42	states/eV per atom

---

Entry 6:
Entry from the Alexandria database: a relaxed NdErNiAg crystal (PBE).

```
NdErNiAg
1.0
7.128 0.000 0.000
0.000 7.128 0.000
0.000 0.000 7.128
Nd Er Ni Ag
4 4 4 4
Direct
0.000 0.000 0.000 Nd
0.000 0.500 0.500 Nd
0.500 0.000 0.500 Nd
0.500 0.500 0.000 Nd
0.000 0.000 0.500 Er
0.000 0.500 0.000 Er
0.500 0.000 0.000 Er
0.500 0.500 0.500 Er
0.250 0.250 0.250 Ni
0.250 0.750 0.750 Ni
0.750 0.250 0.750 Ni
0.750 0.750 0.250 Ni
0.250 0.250 0.750 Ag
0.250 0.750 0.250 Ag
0.750 0.250 0.250 Ag
0.750 0.750 0.750 Ag
```

Results
total magnetic moment	0.00	μB per formula unit
ΔE_f	-1.1	eV per formula unit
symmetry	F-43m (216)
energy	-4.7558	eV/atom
DOS(E_F)	0.62	states/eV per atom

---

Entry 7:
Entry from the Alexandria database: a relaxed NbCoC2 crystal (PBE).

```
NbCoC2
1.0
4.493 0.000 0.000
0.000 4.493 0.000
0.000 0.000 9.411
Nb Co C
4 4 8
Direct
0.000 0.000 0.000 Nb
0.000 0.500 0.250 Nb
0.500 0.000 0.750 Nb
0.500 0.500 0.500 Nb
0.000 0.000 0.500 Co
0.000 0.500 0.750 Co
0.500 0.000 0.250 Co
0.500 0.500 0.000 Co
0.206 0.250 0.625 C
0.250 0.706 0.875 C
0.250 0.794 0.375 C
0.294 0.250 0.125 C
0.706 0.750 0.125 C
0.750 0.206 0.375 C
0.750 0.294 0.875 C
0.794 0.750 0.625 C
```

Results
total magnetic moment	0.00	μB per formula unit
ΔE_f	1.8	eV per formula unit
symmetry	I-42d (122)
energy	-8.4438	eV/atom
DOS(E_F)	0.78	states/eV per atom

---

Entry 8:
Entry from the Alexandria database: a relaxed Hf2V2GaRu5 crystal (PBE).

```
Hf2V2GaRu5
1.0
9.931 0.000 0.000
0.000 9.931 0.000
0.000 0.000 3.187
Hf V Ga Ru
4 4 2 10
Direct
0.172 0.328 0.000 Hf
0.328 0.828 0.000 Hf
0.672 0.172 0.000 Hf
0.828 0.672 0.000 Hf
0.131 0.631 0.000 V
0.369 0.131 0.000 V
0.631 0.869 0.000 V
0.869 0.369 0.000 V
0.000 0.000 0.000 Ga
0.500 0.500 0.000 Ga
0.000 0.500 0.500 Ru
0.062 0.800 0.500 Ru
0.200 0.062 0.500 Ru
0.300 0.562 0.500 Ru
0.438 0.300 0.500 Ru
0.500 0.000 0.500 Ru
0.562 0.700 0.500 Ru
0.700 0.438 0.500 Ru
0.800 0.938 0.500 Ru
0.938 0.200 0.500 Ru
```

Results
total magnetic moment	0.00	μB per formula unit
ΔE_f	-2.8	eV per formula unit
symmetry	P4/mbm (127)
energy	-9.0382	eV/atom
DOS(E_F)	0.62	states/eV per atom

---

Entry 9:
Entry from the Alexandria database: a relaxed Ho2Er3Ir2 crystal (PBE).

```
Ho2Er3Ir2
1.0
11.915 0.000 0.000
0.000 3.827 0.000
-3.846 0.000 7.867
Ho Er Ir
4 6 4
Direct
0.167 0.000 0.307 Ho
0.333 0.500 0.693 Ho
0.667 0.500 0.307 Ho
0.833 0.000 0.693 Ho
0.000 0.500 0.500 Er
0.119 0.500 0.931 Er
0.381 0.000 0.069 Er
0.500 0.000 0.500 Er
0.619 0.000 0.931 Er
0.881 0.500 0.069 Er
0.176 0.000 0.735 Ir
0.324 0.500 0.265 Ir
0.676 0.500 0.735 Ir
0.824 0.000 0.265 Ir
```

Results
total magnetic moment	0.00	μB per formula unit
ΔE_f	-4.6	eV per formula unit
symmetry	C2/m (12)
energy	-6.4544	eV/atom
DOS(E_F)	0.87	states/eV per atom

---

Entry 10:
Entry from the Alexandria database: a relaxed FeCo2CuMo crystal (PBE).

```
FeCo2CuMo
1.0
4.273 0.000 0.000
0.000 4.273 0.000
0.000 0.000 4.334
Fe Co Cu Mo
1 2 1 1
Direct
0.000 0.000 0.000 Fe
0.000 0.500 0.000 Co
0.500 0.000 0.000 Co
0.500 0.500 0.500 Cu
0.000 0.000 0.500 Mo
```

Results
total magnetic moment	4.74	μB per formula unit
ΔE_f	6.2	eV per formula unit
symmetry	P4/mmm (123)
energy	-6.2750	eV/atom
DOS(E_F)	1.51	states/eV per atom

---

Entry 11:
Entry from the Alexandria database: a relaxed GdYLuSc crystal (PBE).

```
GdYLuSc
1.0
7.803 0.000 0.000
0.000 7.803 0.000
0.000 0.000 7.803
Gd Y Lu Sc
4 4 4 4
Direct
0.000 0.000 0.000 Gd
0.000 0.500 0.500 Gd
0.500 0.000 0.500 Gd
0.500 0.500 0.000 Gd
0.000 0.000 0.500 Y
0.000 0.500 0.000 Y
0.500 0.000 0.000 Y
0.500 0.500 0.500 Y
0.250 0.250 0.750 Lu
0.250 0.750 0.250 Lu
0.750 0.250 0.250 Lu
0.750 0.750 0.750 Lu
0.250 0.250 0.250 Sc
0.250 0.750 0.750 Sc
0.750 0.250 0.750 Sc
0.750 0.750 0.250 Sc
```

Results
total magnetic moment	7.17	μB per formula unit
ΔE_f	0.4	eV per formula unit
symmetry	F-43m (216)
energy	-7.7518	eV/atom
DOS(E_F)	1.72	states/eV per atom

---

Entry 12:
Entry from the Alexandria database: a relaxed Na2UCdTe4 crystal (PBE).

```
Na2UCdTe4
1.0
7.701 0.000 0.000
0.000 4.411 0.000
-2.712 0.000 7.514
Na U Cd Te
2 1 1 4
Direct
0.000 0.000 0.000 Na
0.500 0.500 0.000 Na
0.000 0.500 0.500 U
0.500 0.000 0.500 Cd
0.234 0.000 0.740 Te
0.262 0.500 0.282 Te
0.738 0.500 0.718 Te
0.766 0.000 0.260 Te
```

Results
energy relative to the elements, uncorrected	-0.684	eV/atom
total magnetic moment	2.00	μB per formula unit
symmetry	P2/m (10)
energy	-4.1102	eV/atom
DOS(E_F)	0.55	states/eV per atom